# 1
## Pr6SmTl2 (PBE-GGA)

Data for crystalline Pr6SmTl2 at its relaxed geometry.

Unit cell a=13.3472 b=3.8799 c=12.3269 alpha=90.00 beta=108.10 gamma=90.00
Space group C2/m (No. 12)
Asymmetric unit:
Pr1 0.0144 0.0000 0.3426 (multiplicity 4)
Pr2 0.1846 0.5000 0.8754 (multiplicity 4)
Pr3 0.1936 0.5000 0.5900 (multiplicity 4)
Sm1 0.0000 0.0000 0.0000 (multiplicity 2)
Tl1 0.1376 0.5000 0.2004 (multiplicity 4)

Summary:
For the raw total energy, the calculation gives -4.389 eV/atom. For the total magnetic moment, the calculation gives 0.0 μB/cell. The calculation puts the formation energy at -14.73 kJ per mole of atoms. The offset from the most stable computed form comes out at 0 kJ/mol of formula units.



# 2
## Pr3Sm6Tl (PBE-GGA)

Data for crystalline Pr3Sm6Tl at its relaxed geometry.

Unit cell a=10.7862 b=19.8358 c=6.3641 alpha=90.00 beta=90.00 gamma=90.00
Space group Cmc2_1 (No. 36)
Asymmetric unit:
Pr1 0.0000 0.1040 0.0000 (multiplicity 4)
Pr2 0.1662 0.3785 0.6612 (multiplicity 8)
Sm1 0.0000 0.2087 0.4293 (multiplicity 4)
Sm2 0.0000 0.4415 0.1691 (multiplicity 4)
Sm3 0.1728 0.0404 0.5306 (multiplicity 8)
Sm4 0.2317 0.3014 0.1952 (multiplicity 8)
Tl1 0.0000 0.2627 0.9140 (multiplicity 4)

Summary:
For the raw total energy, the calculation gives -4.486 eV/atom. For the total magnetic moment, the calculation gives 0.0 μB/cell. The calculation puts the formation energy at 1.51 kJ per mole of atoms. The offset from the most stable computed form comes out at 11 kJ/mol of formula units.



# 3
## Pr2SmTl (PBE-GGA)

Data for crystalline Pr2SmTl at its relaxed geometry.

Unit cell a=3.7691 b=3.7691 c=33.2704 alpha=90.00 beta=90.00 gamma=120.00
Space group R3m (No. 160, hexagonal axes)
Asymmetric unit:
Pr1 0.0000 0.0000 0.0000 (multiplicity 3)
Pr2 0.0000 0.0000 0.1775 (multiplicity 3)
Sm1 0.0000 0.0000 0.7554 (multiplicity 3)
Tl1 0.0000 0.0000 0.5889 (multiplicity 3)

Summary:
For the raw total energy, the calculation gives -4.255 eV/atom. For the total magnetic moment, the calculation gives 0.0 μB/cell. The calculation puts the formation energy at -9.05 kJ per mole of atoms. The offset from the most stable computed form comes out at 42 kJ/mol of formula units.



# 4
## Pr4SmTl3 (PBE-GGA)

Data for crystalline Pr4SmTl3 at its relaxed geometry.

Unit cell a=5.5749 b=5.5749 c=28.3213 alpha=90.00 beta=90.00 gamma=120.00
Space group R-3m (No. 166, hexagonal axes)
Asymmetric unit:
Pr1 0.0000 0.0000 0.1132 (multiplicity 6)
Pr2 0.0000 0.0000 0.3679 (multiplicity 6)
Sm1 0.0000 0.0000 0.5000 (multiplicity 3)
Tl1 0.0000 0.0000 0.0000 (multiplicity 3)
Tl2 0.0000 0.0000 0.2359 (multiplicity 6)

Summary:
For the raw total energy, the calculation gives -4.111 eV/atom. For the total magnetic moment, the calculation gives 6.1 μB/cell. The calculation puts the formation energy at -23.54 kJ per mole of atoms. The offset from the most stable computed form comes out at 0 kJ/mol of formula units.



# 5
## PrSm7Tl4 (PBE-GGA)

Data for crystalline PrSm7Tl4 at its relaxed geometry.

Unit cell a=14.8568 b=5.8617 c=10.5238 alpha=90.00 beta=123.00 gamma=90.00
Space group C2/m (No. 12)
Asymmetric unit:
Pr1 0.0000 0.0000 0.0000 (multiplicity 2)
Sm1 0.0000 0.5000 0.0000 (multiplicity 2)
Sm2 0.0620 0.0000 0.3956 (multiplicity 4)
Sm3 0.2052 0.0000 0.8798 (multiplicity 4)
Sm4 0.2243 0.5000 0.6620 (multiplicity 4)
Tl1 0.0579 0.5000 0.7472 (multiplicity 4)
Tl2 0.1869 0.5000 0.3329 (multiplicity 4)

Summary:
For the raw total energy, the calculation gives -4.001 eV/atom. For the total magnetic moment, the calculation gives 0.0 μB/cell. The calculation puts the formation energy at -5.89 kJ per mole of atoms.



# 6
## Pr6Sm12Tl (PBE-GGA)

Data for crystalline Pr6Sm12Tl at its relaxed geometry.

Unit cell a=12.1687 b=12.1687 c=15.2840 alpha=90.00 beta=90.00 gamma=120.00
Space group R-3 (No. 148, hexagonal axes)
Asymmetric unit:
Pr1 0.0148 0.4239 0.1849 (multiplicity 18)
Sm1 0.0028 0.1737 0.3141 (multiplicity 18)
Sm2 0.0464 0.8502 0.9164 (multiplicity 18)
Tl1 0.0000 0.0000 0.5000 (multiplicity 3)

Summary:
For the raw total energy, the calculation gives -4.541 eV/atom. For the total magnetic moment, the calculation gives 0.0 μB/cell. The calculation puts the formation energy at 7.04 kJ per mole of atoms.